No. 1
VASP calculation (PBEsol) on LiTe2WN after structural relaxation.

Geometry as extended XYZ:
```
5
Lattice="-2.711 -0.330 1.956 -2.004 -3.094 -3.300 2.126 -3.831 2.300" Properties=species:S:1:pos:R:3 pbc="T T T"
N -1.355 -0.165 0.978
Li 0.000 0.000 0.000
Te 1.063 -1.915 1.150
Te -1.002 -1.547 -1.650
W -1.294 -3.628 0.478
```

Computed properties:
N(E_F): 5.0 states/eV/cell

***

No. 2
VASP calculation (PBEsol) on LiZnTeN2 after structural relaxation.

Geometry as extended XYZ:
```
5
Lattice="-1.034 2.676 -2.462 -3.470 -1.490 -0.163 -1.444 2.945 3.808" Properties=species:S:1:pos:R:3 pbc="T T T"
Li 0.000 0.000 0.000
N -0.517 1.338 -1.231
N -1.735 -0.745 -0.081
Zn -2.974 2.065 0.592
Te -0.722 1.473 1.904
```

Computed properties:
N(E_F): 3.3 states/eV/cell

***

No. 3
VASP calculation (PBEsol) on Li2ThN2 after structural relaxation.

Geometry as extended XYZ:
```
5
Lattice="3.667 0.000 0.000 -1.834 3.176 0.000 0.000 0.000 5.474" Properties=species:S:1:pos:R:3 pbc="T T T"
Li 0.000 2.117 2.211
Li 1.834 1.059 3.263
N 0.000 2.117 4.228
N 1.834 1.059 1.246
Th 0.000 0.000 0.000
```

Computed properties:
N(E_F): 0.0 states/eV/cell

***

No. 4
VASP calculation (PBEsol) on Li2TiN2 after structural relaxation.

Geometry as extended XYZ:
```
5
Lattice="3.050 0.000 0.000 -1.525 2.642 0.000 0.000 0.000 5.377" Properties=species:S:1:pos:R:3 pbc="T T T"
N 0.000 1.761 1.137
N 1.525 0.881 4.240
Li 0.000 1.761 3.392
Li 1.525 0.881 1.985
Ti 0.000 0.000 0.000
```

***

No. 5
VASP calculation (PBEsol) on LiTl3N after structural relaxation.

Geometry as extended XYZ:
```
5
Lattice="4.935 0.000 0.000 0.000 4.935 0.000 0.000 0.000 4.935" Properties=species:S:1:pos:R:3 pbc="T T T"
Tl 0.000 0.000 2.467
Tl 0.000 2.467 0.000
Tl 2.467 0.000 0.000
N 0.000 0.000 0.000
Li 2.467 2.467 2.467
```

Computed properties:
energy relative to the lowest polymorph listed for this composition: 0.0 meV per atom
N(E_F): 2.6 states/eV/cell

***

No. 6
VASP calculation (PBEsol) on Li2TlN after structural relaxation.

Geometry as extended XYZ:
```
8
Lattice="5.170 0.000 0.000 -2.585 5.700 -0.190 0.000 2.496 4.528" Properties=species:S:1:pos:R:3 pbc="T T T"
Li 1.293 2.361 1.651
Li 0.000 6.459 3.820
Li 0.000 5.211 1.556
Li 3.878 2.361 1.651
N 0.000 3.474 1.037
N 2.585 1.248 2.264
Tl 0.000 0.000 0.000
Tl 2.585 4.722 3.301
```

Computed properties:
N(E_F): 0.0 states/eV/cell

***

These records have energy relative to the elements, uncorrected values of 1.2416, 1.5192, -1.1555, -1.1703, 0.5695, 0.0838 eV/atom, in the order they appear.
These records have VASP energy values of -5.029, -3.306, -6.974, -7.032, -3.107, -3.689 eV/atom, in the order they appear.